(1)
Computed, not measured: an optimized crystal structure of LiTl2H2 at the PBE level of DFT.

Cell lengths 6.313, 6.313, 4.381 Å; angles 90.00, 90.00, 90.00 degrees
Fractional positions:
1 Tl 0.186 0.686 0.500
2 Tl 0.314 0.186 0.500
3 Tl 0.686 0.814 0.500
4 Tl 0.814 0.314 0.500
5 H 0.274 0.774 0.000
6 H 0.226 0.274 0.000
7 H 0.774 0.726 0.000
8 H 0.726 0.226 0.000
9 Li 0.000 0.000 0.000
10 Li 0.500 0.500 0.000

Computed properties:
**Crystal system**: tetragonal

(2)
Computed, not measured: an optimized crystal structure of BaSr2Be at the PBE level of DFT.

Cell lengths 10.115, 10.115, 7.989 Å; angles 50.72, 50.72, 90.00 degrees
Fractional positions:
1 Be 0.250 0.750 0.500
2 Be 0.500 0.500 0.000
3 Ba 0.000 0.000 0.000
4 Ba 0.750 0.250 0.500
5 Sr 0.525 0.125 0.250
6 Sr 0.225 0.625 0.250
7 Sr 0.375 0.475 0.750
8 Sr 0.875 0.775 0.750

Computed properties:
**ΔE_f**: 0.433 eV per atom
**Crystal system**: tetragonal

(3)
Computed, not measured: an optimized crystal structure of K2IrPd at the PBE level of DFT.

Cell lengths 5.287, 5.287, 5.287 Å; angles 60.00, 60.00, 60.00 degrees
Fractional positions:
1 Ir 0.500 0.500 0.500
2 K 0.250 0.250 0.250
3 K 0.750 0.750 0.750
4 Pd 0.000 0.000 0.000

Computed properties:
**ΔE_f**: 1.082 eV per atom
**Crystal system**: cubic

(4)
Computed, not measured: an optimized crystal structure of Cs2KIBr6 at the PBE level of DFT.

Cell lengths 8.890, 8.890, 8.571 Å; angles 58.76, 58.76, 90.00 degrees
Fractional positions:
1 I 0.000 0.000 0.000
2 K 0.500 0.500 0.000
3 Br 0.250 0.750 0.000
4 Br 0.250 0.250 0.000
5 Br 0.750 0.250 0.000
6 Br 0.228 0.228 0.544
7 Br 0.750 0.750 0.000
8 Br 0.772 0.772 0.456
9 Cs 0.750 0.250 0.500
10 Cs 0.250 0.750 0.500

Computed properties:
**E_form (uncorrected)**: -9.5 eV/f.u.
**Crystal system**: tetragonal

(5)
Computed, not measured: an optimized crystal structure of HoErF at the PBE level of DFT.

Cell lengths 3.489, 6.842, 6.812 Å; angles 62.16, 75.16, 75.23 degrees
Fractional positions:
1 Er 0.006 0.723 0.265
2 Er 0.994 0.277 0.735
3 Ho 0.268 0.763 0.701
4 Ho 0.732 0.237 0.299
5 F 0.344 0.375 0.937
6 F 0.656 0.625 0.063

Computed properties:
**E_form (uncorrected)**: -4.6 eV/f.u.
**Crystal system**: monoclinic

(6)
Computed, not measured: an optimized crystal structure of VHN2 at the PBE level of DFT.

Cell lengths 4.966, 4.966, 4.966 Å; angles 33.63, 33.63, 33.63 degrees
Fractional positions:
1 N 0.910 0.910 0.910
2 N 0.090 0.090 0.090
3 V 0.500 0.500 0.500
4 H 0.000 0.000 0.000

Computed properties:
**Crystal system**: trigonal

(7)
Computed, not measured: an optimized crystal structure of Ni6Te7 at the PBE level of DFT.

Cell lengths 9.128, 9.128, 9.128 Å; angles 42.10, 42.10, 42.10 degrees
Fractional positions:
1 Ni 0.090 0.090 0.090
2 Ni 0.663 0.663 0.663
3 Ni 0.910 0.910 0.910
4 Ni 0.813 0.813 0.813
5 Ni 0.337 0.337 0.337
6 Ni 0.187 0.187 0.187
7 Te 0.421 0.421 0.941
8 Te 0.941 0.421 0.421
9 Te 0.579 0.579 0.059
10 Te 0.421 0.941 0.421
11 Te 0.059 0.579 0.579
12 Te 0.500 0.500 0.500
13 Te 0.579 0.059 0.579

Computed properties:
**E_form (uncorrected)**: 8.0 eV/f.u.
**Crystal system**: trigonal

(8)
Computed, not measured: an optimized crystal structure of MnSnAsPtI at the PBE level of DFT.

Cell lengths 4.121, 4.121, 24.727 Å; angles 90.00, 90.00, 120.00 degrees
Fractional positions:
1 Mn 0.333 0.667 0.798
2 Mn 0.667 0.333 0.465
3 Mn 0.000 0.000 0.132
4 I 0.667 0.333 0.058
5 I 0.333 0.667 0.392
6 I 0.000 0.000 0.725
7 Pt 0.000 0.000 0.881
8 Pt 0.333 0.667 0.548
9 Pt 0.667 0.333 0.215
10 As 0.667 0.333 0.847
11 As 0.000 0.000 0.513
12 As 0.333 0.667 0.180
13 Sn 0.333 0.667 0.943
14 Sn 0.667 0.333 0.610
15 Sn 0.000 0.000 0.276

Computed properties:
**E_form (uncorrected)**: -1.0 eV/f.u.
**Crystal system**: trigonal

(9)
Computed, not measured: an optimized crystal structure of Cr3AsN at the PBE level of DFT.

Cell lengths 3.842, 3.842, 3.842 Å; angles 90.00, 90.00, 90.00 degrees
Fractional positions:
1 Cr 0.000 0.500 0.000
2 Cr 0.000 0.000 0.500
3 Cr 0.500 0.000 0.000
4 N 0.000 0.000 0.000
5 As 0.500 0.500 0.500

Computed properties:
**E_form (uncorrected)**: -0.8 eV/f.u.
**Crystal system**: cubic

(10)
Computed, not measured: an optimized crystal structure of MgZrAg2 at the PBE level of DFT.

Cell lengths 9.946, 9.946, 9.946 Å; angles 17.62, 17.62, 17.62 degrees
Fractional positions:
1 Mg 0.250 0.250 0.250
2 Zr 0.750 0.750 0.750
3 Ag 0.997 0.997 0.997
4 Ag 0.503 0.503 0.503

Computed properties:
**ΔE_f**: -0.024 eV per atom
**Crystal system**: trigonal

(11)
Computed, not measured: an optimized crystal structure of HfScAs2Rh5 at the PBE level of DFT.

Cell lengths 4.129, 4.129, 8.580 Å; angles 90.00, 90.00, 90.00 degrees
Fractional positions:
1 Rh 0.000 0.500 0.730
2 Rh 0.500 0.500 0.500
3 Rh 0.500 0.000 0.270
4 Rh 0.500 0.000 0.730
5 Rh 0.000 0.500 0.270
6 Sc 0.000 0.000 0.500
7 As 0.500 0.500 0.861
8 As 0.500 0.500 0.139
9 Hf 0.000 0.000 0.000

Computed properties:
**ΔE_f**: -0.604 eV per atom
**Crystal system**: tetragonal

(12)
Computed, not measured: an optimized crystal structure of RbLi2PSe4 at the PBE level of DFT.

Cell lengths 6.602, 6.602, 6.602 Å; angles 116.24, 116.24, 96.65 degrees
Fractional positions:
1 Li 0.750 0.250 0.500
2 Li 0.250 0.750 0.500
3 Se 0.332 0.963 0.000
4 Se 0.037 0.037 0.370
5 Se 0.963 0.332 0.000
6 Se 0.668 0.668 0.630
7 P 0.000 0.000 0.000
8 Rb 0.500 0.500 0.000

Computed properties:
**E_form (uncorrected)**: -6.5 eV/f.u.
**Crystal system**: tetragonal

(13)
Computed, not measured: an optimized crystal structure of Dy3SbS3 at the PBE level of DFT.

Cell lengths 7.887, 7.887, 8.537 Å; angles 62.49, 62.49, 60.00 degrees
Fractional positions:
1 Dy 0.282 0.521 0.278
2 Dy 0.479 0.081 0.722
3 Dy 0.081 0.718 0.722
4 Dy 0.718 0.479 0.722
5 Dy 0.521 0.919 0.278
6 Dy 0.919 0.282 0.278
7 S 0.385 0.829 0.655
8 S 0.869 0.615 0.345
9 S 0.615 0.171 0.345
10 S 0.829 0.131 0.655
11 S 0.171 0.869 0.345
12 S 0.131 0.385 0.655
13 Sb 0.333 0.333 0.000
14 Sb 0.667 0.667 0.000

Computed properties:
**E_form (uncorrected)**: -11.8 eV/f.u.
**Crystal system**: trigonal

(14)
Computed, not measured: an optimized crystal structure of TbPmNd2Sb4 at the PBE level of DFT.

Cell lengths 4.489, 7.770, 7.769 Å; angles 70.53, 90.00, 90.00 degrees
Fractional positions:
1 Sb 0.000 0.254 0.251
2 Sb 0.500 0.744 0.254
3 Sb 0.000 0.746 0.749
4 Sb 0.500 0.256 0.746
5 Nd 0.000 0.000 0.000
6 Nd 0.500 0.000 0.500
7 Tb 0.000 0.500 0.500
8 Pm 0.500 0.500 0.000

Computed properties:
**E_form (uncorrected)**: -9.4 eV/f.u.
**Crystal system**: monoclinic

(15)
Computed, not measured: an optimized crystal structure of Dy5YTm3 at the PBE level of DFT.

Cell lengths 8.724, 9.217, 10.976 Å; angles 126.45, 90.00, 118.25 degrees
Fractional positions:
1 Dy 0.531 0.634 0.299
2 Dy 0.897 0.366 0.201
3 Dy 0.282 0.805 0.425
4 Dy 0.231 0.000 0.750
5 Dy 0.718 0.195 0.575
6 Dy 0.477 0.195 0.075
7 Dy 0.103 0.634 0.799
8 Dy 0.769 0.000 0.250
9 Dy 0.523 0.805 0.925
10 Dy 0.469 0.366 0.701
11 Tm 0.000 0.000 0.500
12 Tm 0.000 0.000 0.000
13 Tm 0.253 0.431 0.467
14 Tm 0.179 0.431 0.967
15 Tm 0.821 0.569 0.033
16 Tm 0.747 0.569 0.533
17 Y 0.330 0.000 0.250
18 Y 0.670 0.000 0.750

Computed properties:
**ΔE_f**: 0.237 eV per atom
**Crystal system**: monoclinic

(16)
Computed, not measured: an optimized crystal structure of LiPm4In2Ag at the PBE level of DFT.

Cell lengths 5.398, 5.398, 9.348 Å; angles 73.22, 73.22, 60.00 degrees
Fractional positions:
1 In 0.745 0.745 0.766
2 In 0.255 0.255 0.234
3 Pm 0.872 0.872 0.384
4 Pm 0.621 0.621 0.136
5 Pm 0.128 0.128 0.616
6 Pm 0.379 0.379 0.864
7 Li 0.000 0.000 0.000
8 Ag 0.500 0.500 0.500

Computed properties:
**ΔE_f**: -0.333 eV per atom
**Crystal system**: trigonal

(17)
Computed, not measured: an optimized crystal structure of RbLi2MoCl8 at the PBE level of DFT.

Cell lengths 6.402, 6.236, 9.272 Å; angles 87.89, 88.28, 73.92 degrees
Fractional positions:
1 Cl 0.217 0.772 0.820
2 Cl 0.805 0.247 0.816
3 Cl 0.783 0.228 0.180
4 Cl 0.245 0.206 0.004
5 Cl 0.755 0.794 0.996
6 Cl 0.672 0.673 0.491
7 Cl 0.195 0.753 0.184
8 Cl 0.328 0.327 0.509
9 Rb 0.000 0.000 0.500
10 Li 0.498 0.501 0.338
11 Li 0.502 0.499 0.662
12 Mo 0.000 0.000 0.000

Computed properties:
**E_form (uncorrected)**: -15.3 eV/f.u.
**Crystal system**: triclinic

Number 1: mass density 7.95 g/cm³, electronic total energy -0.0915 Ha/atom. Number 2: mass density 2.93 g/cm³, electronic total energy -0.0669 Ha/atom. Number 3: mass density 5.99 g/cm³, electronic total energy -0.1095 Ha/atom. Number 4: mass density 3.29 g/cm³, electronic total energy -0.0877 Ha/atom. Number 5: mass density 8.50 g/cm³, electronic total energy -0.1918 Ha/atom. Number 6: mass density 3.97 g/cm³, electronic total energy -0.2792 Ha/atom. Number 7: mass density 6.69 g/cm³, electronic total energy -0.1377 Ha/atom. Number 8: mass density 7.82 g/cm³, electronic total energy -0.1945 Ha/atom. Number 9: mass density 7.17 g/cm³, electronic total energy -0.3136 Ha/atom. Number 10: mass density 6.99 g/cm³, electronic total energy -0.1465 Ha/atom. Number 11: mass density 10.08 g/cm³, electronic total energy -0.2768 Ha/atom. Number 12: mass density 3.47 g/cm³, electronic total energy -0.1407 Ha/atom. Number 13: mass density 6.02 g/cm³, electronic total energy -0.2213 Ha/atom. Number 14: mass density 7.02 g/cm³, electronic total energy -0.2059 Ha/atom. Number 15: mass density 8.15 g/cm³, electronic total energy -0.1664 Ha/atom. Number 16: mass density 6.90 g/cm³, electronic total energy -0.1466 Ha/atom. Number 17: mass density 2.24 g/cm³, electronic total energy -0.1398 Ha/atom.